(1)
Here is a relaxed NaSbMoW crystal from the Open Quantum Materials Database. Energies are from PBE-GGA.

a = 4.6174 Å, b = 4.6174 Å, c = 4.6174 Å
α = 60.00°, β = 60.00°, γ = 60.00°
With the nearest neighbours (Å) after each atom.
Atoms (fractional coordinates):
Na 0.0000 0.0000 0.0000  4 W 2.83, 4 Sb 2.83
Sb 0.7500 0.7500 0.7500  4 Mo 2.83, 4 Na 2.83
Mo 0.5000 0.5000 0.5000  4 W 2.83, 4 Sb 2.83
W 0.2500 0.2500 0.2500  4 Mo 2.83, 4 Na 2.83

As for the energy above the most stable polymorph in this dataset: 0.00 eV/f.u. Its calculated volume is 70 Å³/f.u. The crystal system is cubic.

(2)
Here is a relaxed Na2Sc2In2CuAu crystal from the Open Quantum Materials Database. Energies are from PBE-GGA.

a = 4.7786 Å, b = 4.7786 Å, c = 6.7974 Å
α = 90.00°, β = 90.00°, γ = 90.00°
With the nearest neighbours (Å) after each atom.
Atoms (fractional coordinates):
Na 0.0000 0.0000 0.0000  4 Sc 2.95, 4 In 2.98
Na 0.5000 0.5000 0.5000  4 In 2.89, 4 Sc 2.91
Sc 0.0000 0.5000 0.7457  4 Na 2.91-2.95, 2 Cu 2.91, 2 Au 2.95
Sc 0.5000 0.0000 0.2543  4 Na 2.91-2.95, 2 Cu 2.91, 2 Au 2.95
In 0.0000 0.5000 0.2609  4 Na 2.89-2.98, 2 Cu 2.89, 2 Au 2.98
In 0.5000 0.0000 0.7391  4 Na 2.89-2.98, 2 Cu 2.89, 2 Au 2.98
Cu 0.0000 0.0000 0.5000  4 In 2.89, 4 Sc 2.91
Au 0.5000 0.5000 0.0000  4 Sc 2.95, 4 In 2.98

As for the total energy: -29.4 eV for the cell shown. Its calculated volume is 155 Å³/f.u. The crystal system is tetragonal.

(3)
Here is a relaxed ErCuTe3Pb crystal from the Open Quantum Materials Database. Energies are from PBE-GGA.

a = 7.5957 Å, b = 7.5957 Å, c = 11.1985 Å
α = 90.00°, β = 90.00°, γ = 147.24°
With the nearest neighbours (Å) after each atom.
Atoms (fractional coordinates):
Er 0.0000 0.0000 0.0000  6 Te 3.04-3.07
Er 0.0000 0.0000 0.5000  6 Te 3.04-3.07
Cu 0.4677 0.5323 0.7500  4 Te 2.65-2.70
Cu 0.5323 0.4677 0.2500  4 Te 2.65-2.70
Te 0.0809 0.9191 0.7500  2 Cu 2.70
Te 0.3571 0.6429 0.5620  1 Cu 2.65
Te 0.3571 0.6429 0.9380  1 Cu 2.65
Te 0.6429 0.3571 0.0620  1 Cu 2.65
Te 0.6429 0.3571 0.4380  1 Cu 2.65
Te 0.9191 0.0809 0.2500  2 Cu 2.70
Pb 0.2384 0.7616 0.2500  6 Te 3.31-3.39, 2 Cu 3.69
Pb 0.7616 0.2384 0.7500  6 Te 3.31-3.39, 2 Cu 3.69

As for the energy above the most stable polymorph in this dataset: 0.02 eV/f.u. Its calculated volume is 175 Å³/f.u. The crystal system is orthorhombic.

(4)
Here is a relaxed YErHg crystal from the Open Quantum Materials Database. Energies are from PBE-GGA.

a = 7.0901 Å, b = 5.0539 Å, c = 9.1392 Å
α = 90.00°, β = 90.00°, γ = 90.00°
With the nearest neighbours (Å) after each atom.
Atoms (fractional coordinates):
Y 0.0161 0.2500 0.1930  3 Hg 3.13-3.23, 1 Er 3.48
Y 0.4839 0.7500 0.6930  3 Hg 3.13-3.23, 1 Er 3.48
Y 0.5161 0.2500 0.3070  3 Hg 3.13-3.23, 1 Er 3.48
Y 0.9839 0.7500 0.8070  3 Hg 3.13-3.23, 1 Er 3.48
Er 0.1670 0.2500 0.5747  4 Hg 3.01-3.07
Er 0.3330 0.7500 0.0747  4 Hg 3.01-3.07
Er 0.6670 0.2500 0.9253  4 Hg 3.01-3.07
Er 0.8330 0.7500 0.4253  4 Hg 3.01-3.07
Hg 0.2417 0.2500 0.8984  4 Er 3.01-3.07, 3 Y 3.13-3.23
Hg 0.2583 0.7500 0.3984  4 Er 3.01-3.07, 3 Y 3.13-3.23
Hg 0.7417 0.2500 0.6016  4 Er 3.01-3.07, 3 Y 3.13-3.23
Hg 0.7583 0.7500 0.1016  4 Er 3.01-3.07, 3 Y 3.13-3.23

Its energy of formation from the pure elements is -0.39 eV/atom. As for the energy above the most stable polymorph in this dataset: 0.00 eV/f.u. Its calculated volume is 82 Å³/f.u. The crystal system is orthorhombic.

(5)
Here is a relaxed InRe3N5 crystal from the Open Quantum Materials Database. Energies are from PBE-GGA.

a = 5.2628 Å, b = 5.2628 Å, c = 5.6189 Å
α = 90.00°, β = 90.00°, γ = 120.00°
With the nearest neighbours (Å) after each atom.
Atoms (fractional coordinates):
In 0.0000 0.0000 0.0000  2 N 2.81
Re 0.0000 0.5000 0.5000  4 N 2.02
Re 0.5000 0.0000 0.5000  4 N 2.02
Re 0.5000 0.5000 0.5000  4 N 2.02
N 0.0000 0.0000 0.5000  6 Re 2.63, 2 In 2.81
N 0.3333 0.6667 0.2619  3 Re 2.02
N 0.3333 0.6667 0.7381  3 Re 2.02
N 0.6667 0.3333 0.2619  3 Re 2.02
N 0.6667 0.3333 0.7381  3 Re 2.02

As for the total energy: -72.0 eV for the cell shown. Its calculated volume is 135 Å³/f.u. The crystal system is hexagonal.

(6)
Here is a relaxed PrNd2InO crystal from the Open Quantum Materials Database. Energies are from PBE-GGA.

a = 4.9730 Å, b = 4.9730 Å, c = 5.0013 Å
α = 90.00°, β = 90.00°, γ = 90.00°
With the nearest neighbours (Å) after each atom.
Atoms (fractional coordinates):
Pr 0.0000 0.0000 0.0000  2 O 2.50
Nd 0.0000 0.5000 0.5000  2 O 2.49
Nd 0.5000 0.0000 0.5000  2 O 2.49
In 0.5000 0.5000 0.0000  4 Pr 3.52, 8 Nd 3.53
O 0.0000 0.0000 0.5000  4 Nd 2.49, 2 Pr 2.50

As for the total energy: -29.0 eV for the cell shown. Its calculated volume is 124 Å³/f.u. The crystal system is tetragonal.